[1]
# SrAc3La2Se6

A geometry-optimized SrAc3La2Se6 structure (PBE, Alexandria via LeMat-Bulk).

Output
Its total energy is -5.657 eV per atom. The value obtained for the volume is 30.29 Å³/atom. The raw formation energy is -1.927 eV/atom. The calculation puts the density of states at the Fermi level at 6.9 states/eV per cell.

Cell: 7.6356 7.6356 7.6367 Å, 99.56 99.56 120.05°
Sites, in units of the cell vectors:
Sr: 0.0000 0.0000 0.0000
Ac: 0.1661 0.8339 0.5000
Ac: 0.5000 0.5000 0.5000
Ac: 0.8339 0.1661 0.5000
La: 0.3335 0.6665 0.0000
La: 0.6665 0.3335 0.0000
Se: 0.0803 0.4143 0.2415
Se: 0.2537 0.2537 0.7602
Se: 0.4143 0.0803 0.2415
Se: 0.5857 0.9197 0.7585
Se: 0.7463 0.7463 0.2398
Se: 0.9197 0.5857 0.7585



[2]
# SrAcLa2Se4

A geometry-optimized SrAcLa2Se4 structure (PBE, Alexandria via LeMat-Bulk).

Output
Its total energy is -5.654 eV per atom. The value obtained for the volume is 29.73 Å³/atom. The raw formation energy is -1.956 eV/atom. The calculation puts the density of states at the Fermi level at 4.3 states/eV per cell.

Cell: 7.5936 4.3575 7.6071 Å, 90.00 109.13 90.00°
Sites, in units of the cell vectors:
Sr: 0.0000 0.0000 0.0000
Ac: 0.5000 0.5000 0.0000
La: 0.0000 0.5000 0.5000
La: 0.5000 0.0000 0.5000
Se: 0.2440 0.0000 0.7432
Se: 0.2490 0.5000 0.2552
Se: 0.7510 0.5000 0.7448
Se: 0.7560 0.0000 0.2568